Material: SrCaEr2Hg4
Method: DFT, PBE
State: relaxed

Results
Its energy is -0.1637 Ry per atom. The value obtained for the formation energy is -0.48 eV per atom.

abc: 5.3310 5.3310 26.3173
angles: 90.00 90.00 120.00
Space group R-3m (No. 166, hexagonal axes)
Asymmetric unit:
Sr1 0.0000 0.0000 0.0000 x3
Ca1 0.0000 0.0000 0.5000 x3
Er1 0.0000 0.0000 0.2481 x6
Hg1 0.0000 0.0000 0.1267 x6
Hg2 0.0000 0.0000 0.3783 x6